# 1
The following is a DFT calculation (PBE-GGA) of LiH6Pt after structural relaxation.

Properties
Symmetry = No. 12

a b c (Å): 4.8687 4.8687 3.3782
angles (deg): 90.23 90.23 116.57
Fractional positions:
H 0.3317 0.6712 0.7574
H 0.3288 0.6683 0.2426
H 0.6712 0.3317 0.7574
H 0.8210 0.8210 0.4994
Pt 0.5000 0.5000 0.5000
H 0.1790 0.1790 0.5006
H 0.6683 0.3288 0.2426
Li 0.0000 0.0000 0.0000

=====

# 2
The following is a DFT calculation (PBE-GGA) of Sm2Zn4GaCu3 after structural relaxation.

Properties
Symmetry = No. 115

a b c (Å): 4.0560 4.0560 10.9367
angles (deg): 90.00 90.00 90.00
Fractional positions:
Zn 0.5000 0.0000 0.6394
Cu 0.0000 0.0000 0.5000
Sm 0.0000 0.5000 0.7524
Ga 0.5000 0.5000 0.5000
Zn 0.0000 0.5000 0.3606
Sm 0.5000 0.0000 0.2476
Cu 0.5000 0.0000 0.8618
Cu 0.0000 0.5000 0.1382
Zn 0.0000 0.0000 0.0000
Zn 0.5000 0.5000 0.0000

=====

# 3
The following is a DFT calculation (PBE-GGA) of Ac4Pr6Dy after structural relaxation.

Properties
Symmetry = No. 121

a b c (Å): 9.8937 9.8937 9.8937
angles (deg): 61.99 137.29 137.29
Fractional positions:
Ac 0.0000 0.0141 0.6271
Pr 0.0000 0.7746 0.4330
Ac 0.3870 0.3729 0.3729
Pr 0.0000 0.4330 0.7746
Pr 0.5000 0.5000 0.0000
Pr 0.3417 0.5670 0.5670
Pr 0.5000 0.0000 0.5000
Pr 0.6583 0.2254 0.2254
Dy 0.0000 0.0000 0.0000
Ac 0.6130 0.9859 0.9859
Ac 0.0000 0.6271 0.0141

=====

Number 1: calculated total energy -28.1 eV per formula unit, DOS(E_F) 0.036 states/eV per atom, total moment 0.000 μB/cell. Number 2: calculated total energy -32.8 eV per formula unit, DOS(E_F) 0.555 states/eV per atom, total moment 0.000 μB/cell. Number 3: calculated total energy -47.1 eV per formula unit, DOS(E_F) 1.483 states/eV per atom, total moment 0.000 μB/cell.